{"formula": "Pm2NiGe2", "functional": "PBE-GGA", "state": "relaxed", "cell": [[4.2070, 0.0000, 0.0000], [2.1035, 5.4267, -0.1420], [2.1035, 0.5975, 9.6283]], "species": ["Ge", "Ge", "Ge", "Ge", "Pm", "Pm", "Pm", "Pm", "Ni", "Ni"], "frac_coords": [[0.0434, 0.3234, 0.5899], [0.9566, 0.6766, 0.4101], [0.6218, 0.8744, 0.8819], [0.3782, 0.1256, 0.1181], [0.0959, 0.7032, 0.1051], [0.9041, 0.2968, 0.8949], [0.7049, 0.2345, 0.3557], [0.2951, 0.7655, 0.6443], [0.4383, 0.8123, 0.3110], [0.5617, 0.1877, 0.6890]], "e_form_ev_per_fu": -3.9, "magnetic_moment_mub_per_cell": 0.0, "e_tot_ev_per_atom": -5.674}